Entry from Alexandria: a relaxed structure of Pr6SmY2Sc (GGA-PBE).

Cell lengths 9.0912, 6.9339, 6.8093 Å; angles 120.61, 72.94, 90.00 degrees
Positions (direct):
Pr 0.3076 0.5871 0.1742
Pr 0.2908 0.0831 0.6429
Pr 0.7092 0.4402 0.3571
Pr 0.2908 0.5598 0.6429
Pr 0.7092 0.9169 0.3571
Pr 0.6924 0.4129 0.8258
Sm 0.5000 0.0000 0.0000
Y 0.0794 0.1287 0.2574
Y 0.9206 0.8713 0.7426
Sc 0.0000 0.5000 0.0000

Properties
Formation energy from the elements = 1.97 eV/f.u.
Spin magnetization = 0.0 μB per cell
Symmetry = C2/m, No. 12

---

Entry from Alexandria: a relaxed structure of PrSm5Y2Sc (GGA-PBE).

Cell lengths 5.6656, 10.4447, 10.4937 Å; angles 90.00, 90.00, 105.74 degrees
Positions (direct):
Pr 0.5887 0.1773 0.9572
Pr 0.4113 0.8227 0.4572
Sm 0.3770 0.7539 0.0191
Sm 0.7228 0.4456 0.8210
Sm 0.4836 0.9671 0.7414
Sm 0.2982 0.5963 0.7060
Sm 0.9813 0.9626 0.5178
Sm 0.6230 0.2461 0.5191
Sm 0.2772 0.5544 0.3210
Sm 0.5164 0.0329 0.2414
Sm 0.7018 0.4037 0.2060
Sm 0.0187 0.0374 0.0178
Y 0.8875 0.7750 0.8132
Y 0.1152 0.2304 0.7341
Y 0.1125 0.2250 0.3132
Y 0.8848 0.7696 0.2341
Sc 0.8036 0.6073 0.5142
Sc 0.1964 0.3927 0.0142

Properties
Formation energy from the elements = 1.48 eV/f.u.
Spin magnetization = 0.0 μB per cell
Symmetry = Cmc2_1, No. 36

---

Entry from Alexandria: a relaxed structure of PrSm2Y5Sc (GGA-PBE).

Cell lengths 5.6222, 10.3650, 10.4522 Å; angles 90.00, 90.00, 105.74 degrees
Positions (direct):
Pr 0.5878 0.1755 0.9512
Pr 0.4122 0.8245 0.4512
Sm 0.8888 0.7776 0.8141
Sm 0.1150 0.2301 0.7338
Sm 0.1112 0.2224 0.3141
Sm 0.8850 0.7699 0.2338
Y 0.3705 0.7411 0.0199
Y 0.7267 0.4534 0.8309
Y 0.4806 0.9612 0.7377
Y 0.2966 0.5931 0.7025
Y 0.9828 0.9656 0.5180
Y 0.6295 0.2589 0.5199
Y 0.2733 0.5466 0.3309
Y 0.5194 0.0388 0.2377
Y 0.7034 0.4069 0.2025
Y 0.0172 0.0344 0.0180
Sc 0.8066 0.6133 0.5157
Sc 0.1934 0.3867 0.0157

Properties
Formation energy from the elements = 1.45 eV/f.u.
Spin magnetization = 0.0 μB per cell
Symmetry = Cmc2_1, No. 36

---

Entry from Alexandria: a relaxed structure of Pr5SmY2Sc (GGA-PBE).

Cell lengths 5.4348, 11.3841, 10.3389 Å; angles 90.00, 90.00, 103.81 degrees
Positions (direct):
Pr 0.3739 0.7479 0.0082
Pr 0.7217 0.4434 0.8213
Pr 0.5001 0.0001 0.7580
Pr 0.2786 0.5572 0.6957
Pr 0.0014 0.0027 0.5081
Pr 0.6261 0.2521 0.5082
Pr 0.2783 0.5566 0.3213
Pr 0.4999 0.9999 0.2580
Pr 0.7214 0.4428 0.1957
Pr 0.9986 0.9973 0.0081
Sm 0.6014 0.2028 0.0081
Sm 0.3986 0.7972 0.5081
Y 0.8841 0.7681 0.7558
Y 0.1162 0.2324 0.7603
Y 0.1159 0.2319 0.2558
Y 0.8838 0.7676 0.2603
Sc 0.7852 0.5704 0.5085
Sc 0.2148 0.4296 0.0085

Properties
Formation energy from the elements = 1.09 eV/f.u.
Spin magnetization = 0.0 μB per cell
Symmetry = Cmc2_1, No. 36

---

Entry from Alexandria: a relaxed structure of Pr6Sm3Y2Sc (GGA-PBE).

Cell lengths 6.3177, 6.3177, 11.9139 Å; angles 95.06, 95.06, 120.02 degrees
Positions (direct):
Pr 0.9186 0.5892 0.7546
Pr 0.7519 0.7519 0.2458
Pr 0.0814 0.4108 0.2454
Pr 0.5892 0.9186 0.7546
Pr 0.2481 0.2481 0.7542
Pr 0.4108 0.0814 0.2454
Sm 0.1667 0.8333 0.5000
Sm 0.8333 0.1667 0.5000
Sm 0.5000 0.5000 0.5000
Y 0.3334 0.6666 0.0000
Y 0.6666 0.3334 0.0000
Sc 0.0000 0.0000 0.0000

Properties
Formation energy from the elements = 0.29 eV/f.u.
Spin magnetization = 0.0 μB per cell
Symmetry = C2/m, No. 12

---

Entry from Alexandria: a relaxed structure of PrSmY2Sc (GGA-PBE).

Cell lengths 5.4852, 8.4455, 7.2088 Å; angles 90.02, 90.00, 90.00 degrees
Positions (direct):
Pr 0.0000 0.0000 0.0000
Pr 0.0000 0.0000 0.5000
Sm 0.0000 0.5000 0.7500
Sm 0.0000 0.5000 0.2500
Y 0.5000 0.6884 0.9997
Y 0.5000 0.3116 0.5003
Y 0.5000 0.6884 0.4997
Y 0.5000 0.3116 0.0003
Sc 0.5000 0.0000 0.2500
Sc 0.5000 0.0000 0.7500

Properties
Formation energy from the elements = 1.05 eV/f.u.
Spin magnetization = 0.0 μB per cell
Symmetry = Pmmm, No. 47